(1)
# Cs2Cd2Ge (PBE, optimized geometry)
data_Cs2Cd2Ge
_chemical_formula_sum 'Cs4 Cd4 Ge2'
_cell_length_a 4.894
_cell_length_b 6.335
_cell_length_c 12.525
_cell_angle_alpha 90.00
_cell_angle_beta 90.00
_cell_angle_gamma 90.00
_space_group_name_H-M_alt 'I m m m'
_space_group_IT_number 71
_space_group_name_Hall '-I 2 2'
loop_
_atom_site_label
_atom_site_fract_x
_atom_site_fract_y
_atom_site_fract_z
Cs1 0.000 0.000 0.194
Cd1 0.000 0.244 0.500
Ge1 0.000 0.500 0.000
# Energy above the lowest structure with this stoichiometry (meV/atom): 0.0

***

(2)
# CsCd3Ge (PBE, optimized geometry)
data_CsCd3Ge
_chemical_formula_sum 'Cs1 Cd3 Ge1'
_cell_length_a 7.090
_cell_length_b 7.090
_cell_length_c 7.090
_cell_angle_alpha 90.00
_cell_angle_beta 90.00
_cell_angle_gamma 90.00
_space_group_name_H-M_alt 'P m -3 m'
_space_group_IT_number 221
_space_group_name_Hall '-P 4 2 3'
loop_
_atom_site_label
_atom_site_fract_x
_atom_site_fract_y
_atom_site_fract_z
Cs1 0.000 0.000 0.000
Cd1 0.000 0.000 0.500
Ge1 0.500 0.500 0.500
# Energy above the lowest structure with this stoichiometry (meV/atom): 995.5

***

(3)
This record from the Alexandria database describes CsCd3Ge2 after structural relaxation. The functional is PBE.

The structure in CIF format:
```
data_CsCd3Ge2
_chemical_formula_sum 'Cs4 Cd12 Ge8'
_cell_length_a 19.366
_cell_length_b 4.654
_cell_length_c 8.229
_cell_angle_alpha 90.00
_cell_angle_beta 95.95
_cell_angle_gamma 90.00
_space_group_name_H-M_alt 'C 1 2/m 1'
_space_group_IT_number 12
_space_group_name_Hall '-C 2y'
loop_
_atom_site_label
_atom_site_fract_x
_atom_site_fract_y
_atom_site_fract_z
Cs1 0.088 0.000 0.216
Cd1 0.106 0.000 0.716
Cd2 0.195 0.500 0.535
Cd3 0.196 0.500 0.912
Ge1 0.053 0.500 0.603
Ge2 0.248 0.500 0.237
```

***

ΔH_f (0 K) for the records above, in order: -0.047; 0.966; -0.009 eV per atom
Ρ for the records above, in order: 4.82; 2.53; 5.54 g/cm³